(1)
Density functional theory data (PBE) for a relaxed structure of KHfPO.

a b c (Å): 4.5561 4.5561 9.6647
angles (deg): 90.00 90.00 90.00
With the nearest neighbours (Å) after each atom.
Sites, in units of the cell vectors:
O: 0.7500 0.2500 0.0000  4 K 2.58
O: 0.2500 0.7500 0.0000  4 K 2.58
K: 0.2500 0.2500 0.1256  4 O 2.58
K: 0.7500 0.7500 0.8744  4 O 2.58
P: 0.7500 0.7500 0.3833  4 Hf 2.54
P: 0.2500 0.2500 0.6167  4 Hf 2.54
Hf: 0.2500 0.7500 0.5000  4 P 2.54
Hf: 0.7500 0.2500 0.5000  4 P 2.54

Calculated total energy = -5.848 eV/atom
Excess energy over the best structure of this formula in the dataset = 113.3 kJ/mol of atoms

=====

(2)
Density functional theory data (PBE) for a relaxed structure of KHfPO.

a b c (Å): 5.2266 5.2266 5.1721
angles (deg): 90.00 90.00 90.00
With the nearest neighbours (Å) after each atom.
Sites, in units of the cell vectors:
Hf: 0.5000 0.5000 0.5000  2 O 2.59, 4 P 2.61
Hf: 0.0000 0.0000 0.5000  2 O 2.59, 4 P 2.61
O: 0.5000 0.5000 0.0000  2 Hf 2.59, 4 K 2.61
O: 0.0000 0.0000 0.0000  2 Hf 2.59, 4 K 2.61
P: 0.0000 0.5000 0.4980  2 K 2.58-2.59, 4 Hf 2.61
P: 0.5000 0.0000 0.5020  2 K 2.58-2.59, 4 Hf 2.61
K: 0.0000 0.5000 0.9983  2 P 2.58-2.59, 4 O 2.61
K: 0.5000 0.0000 0.0017  2 P 2.58-2.59, 4 O 2.61

Calculated total energy = -6.260 eV/atom
Excess energy over the best structure of this formula in the dataset = 73.6 kJ/mol of atoms

=====

(3)
Density functional theory data (PBE) for a relaxed structure of K2HfReO6.

a b c (Å): 5.6563 5.6563 5.6561
angles (deg): 119.95 119.95 60.05
With the nearest neighbours (Å) after each atom.
Sites, in units of the cell vectors:
Re: 0.0000 0.0000 0.5000  6 O 1.93
O: 0.7594 0.7594 0.2589  1 Re 1.93, 1 Hf 2.08
O: 0.2406 0.2406 0.7411  1 Re 1.93, 1 Hf 2.08
O: 0.7601 0.2409 0.2598  1 Re 1.93, 1 Hf 2.08
O: 0.2399 0.7591 0.7402  1 Re 1.93, 1 Hf 2.08
O: 0.7591 0.2399 0.7402  1 Re 1.93, 1 Hf 2.08
O: 0.2409 0.7601 0.2598  1 Re 1.93, 1 Hf 2.08
K: 0.2500 0.2500 0.2502  12 O 2.83
K: 0.7500 0.7500 0.7498  12 O 2.83
Hf: 0.5000 0.5000 0.0000  6 O 2.08

Calculated total energy = -7.711 eV/atom

=====

(4)
Density functional theory data (PBE) for a relaxed structure of K2HfReO6.

a b c (Å): 5.6560 5.6581 8.0015
angles (deg): 90.01 90.00 90.01
With the nearest neighbours (Å) after each atom.
Sites, in units of the cell vectors:
K: 0.9501 0.5500 0.7501  12 O 2.80-2.85
K: 0.4500 0.0499 0.7500  12 O 2.81-2.86
K: 0.9500 0.5502 0.2499  12 O 2.81-2.86
K: 0.4499 0.0500 0.2500  12 O 2.81-2.86
O: 0.7116 0.2929 0.9997  1 Re 1.92, 1 Hf 2.08
O: 0.2132 0.7941 0.4998  1 Re 1.93, 1 Hf 2.08
O: 0.2053 0.3131 0.4993  1 Re 1.92, 1 Hf 2.08
O: 0.7073 0.8119 0.9994  1 Re 1.93, 1 Hf 2.08
O: 0.6946 0.7862 0.5007  1 Re 1.93, 1 Hf 2.08
O: 0.4492 0.5494 0.7405  1 Re 1.92, 1 Hf 2.08
O: 0.9509 0.0504 0.7595  1 Re 1.92, 1 Hf 2.08
O: 0.1928 0.2888 0.0006  1 Re 1.92, 1 Hf 2.07
O: 0.1888 0.8078 0.0003  1 Re 1.93, 1 Hf 2.08
O: 0.9491 0.0501 0.2405  1 Re 1.92, 1 Hf 2.08
O: 0.4508 0.5501 0.2595  1 Re 1.92, 1 Hf 2.08
O: 0.6865 0.3052 0.5002  1 Re 1.92, 1 Hf 2.08
Hf: 0.9499 0.0498 0.5000  6 O 2.08
Hf: 0.4501 0.5502 0.0000  6 O 2.07-2.08
Re: 0.9501 0.0503 0.0000  6 O 1.92-1.93
Re: 0.4499 0.5497 0.5000  6 O 1.92-1.93

Calculated total energy = -7.711 eV/atom

=====

(5)
Density functional theory data (PBE) for a relaxed structure of K2HfSi3O9.

a b c (Å): 6.8623 6.8623 10.1598
angles (deg): 90.00 90.00 120.00
With the nearest neighbours (Å) after each atom.
Sites, in units of the cell vectors:
O: 0.7480 0.7562 0.1350  1 Si 1.61
O: 0.9150 0.3935 0.5000  2 Si 1.65-1.66
O: 0.0082 0.2520 0.1350  1 Si 1.61
O: 0.0852 0.6064 0.0000  2 Si 1.65-1.66
O: 0.4785 0.0850 0.5000  2 Si 1.65-1.66
O: 0.2438 0.9918 0.8650  1 Si 1.61
O: 0.3936 0.4788 0.0000  2 Si 1.65-1.66
O: 0.7563 0.0086 0.3650  1 Si 1.61
O: 0.2438 0.9918 0.1350  1 Si 1.61
O: 0.6065 0.5215 0.5000  2 Si 1.65-1.66
O: 0.0082 0.2520 0.8650  1 Si 1.61
O: 0.2523 0.2437 0.6350  1 Si 1.61
O: 0.9914 0.7477 0.3650  1 Si 1.61
O: 0.7480 0.7562 0.8650  1 Si 1.61
O: 0.9914 0.7477 0.6350  1 Si 1.61
O: 0.2523 0.2437 0.3650  1 Si 1.61
O: 0.5212 0.9148 0.0000  2 Si 1.65-1.66
O: 0.7563 0.0086 0.6350  1 Si 1.61
K: 0.3333 0.6667 0.6952  3 O 2.74
K: 0.3333 0.6667 0.3048  3 O 2.74
K: 0.6667 0.3333 0.1948  3 O 2.74
K: 0.6667 0.3333 0.8052  3 O 2.74
Hf: 0.0000 0.0000 0.7500  6 O 2.06
Hf: 0.0000 0.0000 0.2500  6 O 2.06
Si: 0.3837 0.2639 0.5000  4 O 1.61-1.66
Si: 0.6164 0.7363 0.0000  4 O 1.61-1.66
Si: 0.8803 0.6163 0.5000  4 O 1.61-1.66
Si: 0.7361 0.1197 0.5000  4 O 1.61-1.66
Si: 0.1199 0.3836 0.0000  4 O 1.61-1.66
Si: 0.2637 0.8801 0.0000  4 O 1.61-1.66

Calculated total energy = -7.718 eV/atom

=====

(6)
Density functional theory data (PBE) for a relaxed structure of KHf3P.

a b c (Å): 5.0117 5.0117 5.0117
angles (deg): 90.00 90.00 90.00
With the nearest neighbours (Å) after each atom.
Sites, in units of the cell vectors:
Hf: 0.5000 0.5000 0.0000  2 P 2.51
Hf: 0.5000 0.0000 0.5000  2 P 2.51
Hf: 0.0000 0.5000 0.5000  2 P 2.51
P: 0.5000 0.5000 0.5000  6 Hf 2.51
K: 0.0000 0.0000 0.0000  12 Hf 3.54

Calculated total energy = -6.931 eV/atom

=====

(7)
Density functional theory data (PBE) for a relaxed structure of KHfPdSe3.

a b c (Å): 8.4851 3.8591 10.0789
angles (deg): 90.00 111.53 90.00
With the nearest neighbours (Å) after each atom.
Sites, in units of the cell vectors:
Hf: 0.6908 0.7500 0.6656  6 Se 2.65-2.77
Hf: 0.3092 0.2500 0.3344  6 Se 2.65-2.77
K: 0.7584 0.2500 0.2262  6 Se 3.29-3.41
K: 0.2416 0.7500 0.7738  6 Se 3.29-3.41
Se: 0.4495 0.2500 0.6299  3 Hf 2.74-2.77
Se: 0.2661 0.2500 0.0598  2 Pd 2.50, 1 Hf 2.65
Se: 0.5505 0.7500 0.3701  3 Hf 2.74-2.77
Se: 0.7339 0.7500 0.9402  2 Pd 2.50, 1 Hf 2.65
Se: 0.1024 0.7500 0.3576  1 Pd 2.62, 2 Hf 2.68
Se: 0.8976 0.2500 0.6424  1 Pd 2.62, 2 Hf 2.68
Pd: 0.9004 0.2500 0.9031  3 Se 2.50-2.62
Pd: 0.0996 0.7500 0.0969  3 Se 2.50-2.62

Calculated total energy = -5.543 eV/atom

=====

(8)
Density functional theory data (PBE) for a relaxed structure of KHfTePdSe2.

a b c (Å): 8.7129 3.9481 9.9996
angles (deg): 90.00 111.92 90.00
With the nearest neighbours (Å) after each atom.
Sites, in units of the cell vectors:
Se: 0.4601 0.2500 0.6318  3 Hf 2.72-2.78
Se: 0.2587 0.2500 0.0558  2 Pd 2.52, 1 Hf 2.62
Se: 0.5399 0.7500 0.3682  3 Hf 2.72-2.78
Se: 0.7413 0.7500 0.9442  2 Pd 2.52, 1 Hf 2.62
K: 0.7292 0.2500 0.2147  4 Se 3.30-3.38, 2 Te 3.50
K: 0.2708 0.7500 0.7853  4 Se 3.30-3.38, 2 Te 3.50
Te: 0.9152 0.2500 0.6378  1 Pd 2.74, 2 Hf 2.90
Te: 0.0848 0.7500 0.3622  1 Pd 2.74, 2 Hf 2.90
Pd: 0.9001 0.2500 0.9070  2 Se 2.52, 1 Te 2.74
Pd: 0.0999 0.7500 0.0930  2 Se 2.52, 1 Te 2.74
Hf: 0.6868 0.7500 0.6678  4 Se 2.62-2.78, 2 Te 2.90
Hf: 0.3132 0.2500 0.3322  4 Se 2.62-2.78, 2 Te 2.90

Calculated total energy = -5.376 eV/atom
Excess energy over the best structure of this formula in the dataset = 7.3 kJ/mol of atoms

=====

(9)
Density functional theory data (PBE) for a relaxed structure of KHfTePdSe2.

a b c (Å): 8.6745 3.8235 10.3434
angles (deg): 90.00 112.08 90.00
With the nearest neighbours (Å) after each atom.
Sites, in units of the cell vectors:
K: 0.7264 0.7500 0.7402  5 Se 3.27-3.59, 2 Te 3.62
K: 0.2736 0.2500 0.2598  5 Se 3.27-3.59, 2 Te 3.62
Pd: 0.4107 0.2500 0.8857  1 Se 2.57, 3 Te 2.67-2.86
Pd: 0.5893 0.7500 0.1143  1 Se 2.57, 3 Te 2.67-2.86
Te: 0.7607 0.2500 0.0471  3 Pd 2.67-2.86, 1 Hf 2.90
Te: 0.2393 0.7500 0.9529  3 Pd 2.67-2.86, 1 Hf 2.90
Se: 0.3921 0.2500 0.6313  1 Pd 2.57, 2 Hf 2.68
Se: 0.0435 0.7500 0.3709  3 Hf 2.72-2.77
Se: 0.6079 0.7500 0.3687  1 Pd 2.57, 2 Hf 2.68
Se: 0.9565 0.2500 0.6291  3 Hf 2.72-2.77
Hf: 0.8086 0.2500 0.3403  5 Se 2.68-2.77, 1 Te 2.90
Hf: 0.1914 0.7500 0.6597  5 Se 2.68-2.77, 1 Te 2.90

Calculated total energy = -5.452 eV/atom
Excess energy over the best structure of this formula in the dataset = 0.0 kJ/mol of atoms

=====

(10)
Density functional theory data (PBE) for a relaxed structure of KHfTePdSe2.

a b c (Å): 8.7570 3.9545 10.3333
angles (deg): 90.00 112.11 90.00
With the nearest neighbours (Å) after each atom.
Sites, in units of the cell vectors:
Se: 0.7505 0.2500 0.0551  3 Pd 2.53-2.81, 1 Hf 2.61
Se: 0.2495 0.7500 0.9449  3 Pd 2.53-2.81, 1 Hf 2.61
Se: 0.3984 0.2500 0.6493  1 Pd 2.62, 2 Hf 2.66
Se: 0.6016 0.7500 0.3507  1 Pd 2.62, 2 Hf 2.66
Te: 0.9434 0.2500 0.6336  3 Hf 2.97-3.02
Te: 0.0566 0.7500 0.3664  3 Hf 2.97-3.02
Hf: 0.7871 0.2500 0.3182  3 Se 2.61-2.66
Hf: 0.2129 0.7500 0.6818  3 Se 2.61-2.66
Pd: 0.5922 0.7500 0.0946  4 Se 2.53-2.81, 2 Pd 2.82
Pd: 0.4078 0.2500 0.9054  4 Se 2.53-2.81, 2 Pd 2.82
K: 0.7288 0.7500 0.7849  4 Se 3.35-3.37, 2 Te 3.48
K: 0.2712 0.2500 0.2151  4 Se 3.35-3.37, 2 Te 3.48

Calculated total energy = -5.360 eV/atom
Excess energy over the best structure of this formula in the dataset = 8.9 kJ/mol of atoms

=====

What is the formula in the second record?
KHfPO

=====

What is the calculated total energy in the ninth record?
-5.452 eV/atom

=====

What is the calculated total energy in the second record?
-6.260 eV/atom